No. 1
Crystalline MoPtRh2 at its relaxed geometry, computed with PBE.

Geometry as POSCAR:
```
MoPtRh2
1.0
2.743 0.000 0.000
0.000 3.900 0.000
0.000 0.000 5.554
Mo Pt Rh
1 1 2
direct
0.000 0.000 0.000 Mo
0.000 0.000 0.500 Pt
0.500 0.500 0.243 Rh
0.500 0.500 0.757 Rh
```

Summary:
Relative energy among the computed polymorphs (eV/f.u.): 0.20
Density (Mg/m³): 13.9
Raw total energy (Ry per atom): -0.595
Space-group type: Pmmm (47)


No. 2
Crystalline Ca2Au17 at its relaxed geometry, computed with PBE.

Geometry as POSCAR:
```
Ca2Au17
1.0
4.827 2.787 4.756
-4.827 2.787 4.756
0.000 -5.574 4.756
Ca Au
2 17
direct
0.165 0.165 0.165 Ca
0.835 0.835 0.835 Ca
0.000 0.500 0.500 Au
0.152 0.152 0.659 Au
0.152 0.659 0.152 Au
0.188 0.500 0.812 Au
0.188 0.812 0.500 Au
0.341 0.848 0.848 Au
0.399 0.399 0.399 Au
0.500 0.000 0.500 Au
0.500 0.188 0.812 Au
0.500 0.500 0.000 Au
0.500 0.812 0.188 Au
0.601 0.601 0.601 Au
0.659 0.152 0.152 Au
0.812 0.188 0.500 Au
0.812 0.500 0.188 Au
0.848 0.341 0.848 Au
0.848 0.848 0.341 Au
```

Summary:
Density (Mg/m³): 14.8
Raw total energy (Ry per atom): -0.248
Space-group type: R-3m (166)


No. 3
Crystalline LaTiSe3 at its relaxed geometry, computed with PBE.

Geometry as POSCAR:
```
LaTiSe3
1.0
9.343 0.000 0.000
0.000 7.656 0.000
-3.900 0.000 7.678
La Ti Se
4 4 12
direct
0.114 0.219 0.054 La
0.114 0.281 0.554 La
0.886 0.719 0.446 La
0.886 0.781 0.946 La
0.328 0.609 0.918 Ti
0.328 0.891 0.418 Ti
0.672 0.109 0.582 Ti
0.672 0.391 0.082 Ti
0.020 0.514 0.790 Se
0.020 0.986 0.290 Se
0.260 0.674 0.611 Se
0.260 0.826 0.111 Se
0.383 0.213 0.448 Se
0.383 0.287 0.948 Se
0.617 0.713 0.052 Se
0.617 0.787 0.552 Se
0.740 0.174 0.889 Se
0.740 0.326 0.389 Se
0.980 0.014 0.710 Se
0.980 0.486 0.210 Se
```

Summary:
Relative energy among the computed polymorphs (eV/f.u.): 0.36
Density (Mg/m³): 5.1
Raw total energy (Ry per atom): -0.453
Space-group type: P2_1/c (14)
E_form (uncorrected) (eV per atom): -1.508


No. 4
Crystalline CaGd3Co at its relaxed geometry, computed with PBE.

Geometry as POSCAR:
```
CaGd3Co
1.0
5.365 0.000 0.000
0.000 5.365 0.000
0.000 0.000 5.365
Ca Gd Co
1 3 1
direct
0.000 0.000 0.000 Ca
0.000 0.500 0.500 Gd
0.500 0.000 0.500 Gd
0.500 0.500 0.000 Gd
0.500 0.500 0.500 Co
```

Summary:
Density (Mg/m³): 6.1
Raw total energy (Ry per atom): -0.759
Space-group type: Pm-3m (221)


> What is the density in the second record?

14.8 Mg/m³